Below is crystalline HfMnIrO6 at its relaxed geometry, with properties calculated at the GGA+U level.

The magnetization comes out at 4.369 μB per cell. As for the total energy: -7.99 eV per atom.

abc: 5.2140 5.2140 9.1252
angles: 90.00 90.00 120.00
Space group P-31c (No. 163)
Symmetry-distinct sites (fractional):
Hf: 0.3333 0.6667 0.2500 x2
Mn: 0.0000 0.0000 0.0000 x2
Ir: 0.3333 0.6667 0.7500 x2
O: 0.0159 0.3536 0.6302 x12